Compound: LaTmGa6
Source: the Alexandria database
Functional: PBE-GGA
Structure: optimized geometry

For the density of states at the Fermi level, the calculation gives 2.786 states/eV per cell. As for the crystal system: hexagonal. Its formation energy is -0.532 eV/atom. The total magnetization comes out at 0.0 μB per formula unit. For the calculated density, the calculation gives 7.37 g/cm³.

The structure in CIF format:
```
data_LaTmGa6
_chemical_formula_sum 'La1 Tm1 Ga6'
_space_group_name_H-M_alt 'P -6 m 2'
_space_group_IT_number 187
_space_group_name_Hall 'P -6 2'
_cell_length_a 6.4026
_cell_length_b 6.4026
_cell_length_c 4.6086
_cell_angle_alpha 90.00
_cell_angle_beta 90.00
_cell_angle_gamma 120.00
loop_
_atom_site_label
_atom_site_type_symbol
_atom_site_fract_x
_atom_site_fract_y
_atom_site_fract_z
La1 La 0.0000 0.0000 0.0000
Tm1 Tm 0.3333 0.6667 0.5000
Ga1 Ga 0.3829 0.1914 0.5000
Ga2 Ga 0.5191 0.0381 0.0000
```

---

Compound: LaTmGa
Source: the Alexandria database
Functional: PBE-GGA
Structure: optimized geometry

For the density of states at the Fermi level, the calculation gives 5.019 states/eV per cell. As for the crystal system: tetragonal. The calculation puts the relative energy among the computed polymorphs at 48 meV per atom. Its formation energy is -0.351 eV/atom. The total magnetization comes out at 0.0 μB per formula unit. For the calculated density, the calculation gives 7.46 g/cm³.

The structure in CIF format:
```
data_LaTmGa
_chemical_formula_sum 'La2 Tm2 Ga2'
_space_group_name_H-M_alt 'I 4 m m'
_space_group_IT_number 107
_space_group_name_Hall 'I 4 -2'
_cell_length_a 3.566
_cell_length_b 3.566
_cell_length_c 13.217
_cell_angle_alpha 90.00
_cell_angle_beta 90.00
_cell_angle_gamma 90.00
loop_
_atom_site_label
_atom_site_type_symbol
_atom_site_fract_x
_atom_site_fract_y
_atom_site_fract_z
La1 La 0.000 0.000 0.000
Tm1 Tm 0.000 0.000 0.286
Ga1 Ga 0.000 0.000 0.658
```

---

Compound: La4TmGa2
Source: the Alexandria database
Functional: PBE-GGA
Structure: optimized geometry

For the density of states at the Fermi level, the calculation gives 15.970 states/eV per cell. As for the crystal system: triclinic. Its formation energy is -0.232 eV/atom. The total magnetization comes out at 0.0 μB per formula unit. For the calculated density, the calculation gives 6.59 g/cm³.

The structure in CIF format:
```
data_La4TmGa2
_chemical_formula_sum 'La8 Tm2 Ga4'
_space_group_name_H-M_alt 'P 1'
_space_group_IT_number 1
_space_group_name_Hall 'P 1'
_cell_length_a 7.199
_cell_length_b 7.451
_cell_length_c 9.587
_cell_angle_alpha 71.44
_cell_angle_beta 89.40
_cell_angle_gamma 64.58
loop_
_atom_site_label
_atom_site_type_symbol
_atom_site_fract_x
_atom_site_fract_y
_atom_site_fract_z
La1 La 0.000 0.000 0.000
La2 La 0.001 0.432 0.546
La3 La 0.011 0.993 0.401
La4 La 0.424 0.150 0.883
La5 La 0.469 0.107 0.448
La6 La 0.482 0.531 0.577
La7 La 0.509 0.472 0.069
La8 La 0.702 0.664 0.799
Tm1 Tm 0.045 0.446 0.118
Tm2 Tm 0.590 0.810 0.228
Ga1 Ga 0.142 0.635 0.795
Ga2 Ga 0.221 0.609 0.290
Ga3 Ga 0.235 0.947 0.713
Ga4 Ga 0.819 0.054 0.686
```